Entry 1:
RbMnGaBr4, relaxed, DFT PBE; energy relative to the elements, uncorrected = -6.93 eV/f.u.; space-group type = P2_1/m (11); raw total energy = -0.2812 Ry per atom
1.0
-3.5788 2.7659 -5.8444
5.7011 -2.1547 -4.5108
-3.0724 -9.2387 0.5300
Ga Mn Rb Br
2 2 2 8
direct
0.2235 0.2500 0.0055 Ga
0.7765 0.7500 0.9945 Ga
0.7819 0.2500 0.7257 Mn
0.2181 0.7500 0.2743 Mn
0.2124 0.2500 0.5284 Rb
0.7876 0.7500 0.4716 Rb
0.5366 0.2500 0.8582 Br
0.0089 0.5012 0.7916 Br
0.3354 0.7500 0.5351 Br
0.9911 0.0012 0.2084 Br
0.4634 0.7500 0.1418 Br
0.6646 0.2500 0.4649 Br
0.0089 0.9988 0.7916 Br
0.9911 0.4988 0.2084 Br


Entry 2:
MnZn2, relaxed, DFT PBE; energy of formation = 0.24 eV/f.u.; space-group type = Cm (8); raw total energy = -0.2812 Ry per atom
1.0
2.6991 0.0000 0.0000
1.3495 5.0007 -0.0078
0.0000 1.6126 6.2035
Zn Mn
4 2
direct
0.6669 0.6663 0.3357 Zn
0.6112 0.7775 0.7236 Zn
0.9416 0.1167 0.3903 Zn
0.2783 0.4433 0.0489 Zn
0.3376 0.3249 0.6759 Mn
0.9977 0.0046 0.9923 Mn


Entry 3:
CeYCu, relaxed, DFT PBE; energy of formation = 0.46 eV/f.u.; distance to the lowest polymorph of the same formula = 218.8 meV/atom; space-group type = P3m1 (156); raw total energy = -0.3928 Ry per atom
1.0
-1.4253 -0.7041 -3.1993
3.5751 -3.1110 -0.9080
-4.0453 -1.5309 2.1391
Ce Cu Y
1 1 1
direct
0.0326 0.0000 0.0000 Ce
0.3457 0.3333 0.6667 Cu
0.6217 0.6667 0.3333 Y


Entry 4:
PmNdInIr, relaxed, DFT PBE; energy of formation = -1.68 eV/f.u.; space-group type = F-43m (216); raw total energy = -0.4188 Ry per atom
1.0
5.2256 0.0000 0.0000
2.6128 4.5255 0.0000
2.6128 1.5085 4.2667
In Nd Pm Ir
1 1 1 1
direct
0.5000 0.5000 0.5000 In
0.2500 0.2500 0.2500 Nd
0.7500 0.7500 0.7500 Pm
0.0000 0.0000 0.0000 Ir


Entry 5:
ErMgPt6, relaxed, DFT PBE; energy of formation = -6.62 eV/f.u.; space-group type = P4/mmm (123); raw total energy = -0.4504 Ry per atom
1.0
-0.4401 -3.6357 -1.7144
3.3783 0.6000 -2.1397
4.3199 -3.3025 5.8944
Pt Er Mg
6 1 1
direct
0.5000 0.5000 0.5000 Pt
0.5000 0.0000 0.7397 Pt
0.5000 0.5000 0.0000 Pt
0.0000 0.5000 0.2603 Pt
0.5000 0.0000 0.2603 Pt
0.0000 0.5000 0.7397 Pt
0.0000 0.0000 0.0000 Er
0.0000 0.0000 0.5000 Mg


Entry 6:
Pr3Dy3MgSe8, relaxed, DFT PBE; energy relative to the elements, uncorrected = -26.61 eV/f.u.; space-group type = R-3m (166); raw total energy = -0.4127 Ry per atom
1.0
-7.5987 -3.1079 0.6053
5.6981 -1.9354 5.6170
-3.1734 7.7297 -0.1493
Pr Se Dy Mg
3 8 3 1
direct
0.5000 0.5000 0.0000 Pr
0.0000 0.5000 0.0000 Pr
0.0000 0.0000 0.0000 Pr
0.2554 0.5107 0.2661 Se
0.7446 0.4893 0.7339 Se
0.2507 0.0103 0.2699 Se
0.7596 0.0103 0.2699 Se
0.2404 0.4808 0.7301 Se
0.2404 0.9897 0.7301 Se
0.7596 0.5192 0.2699 Se
0.7493 0.9897 0.7301 Se
0.5000 0.0000 0.5000 Dy
0.5000 0.5000 0.5000 Dy
0.0000 0.5000 0.5000 Dy
0.0000 0.0000 0.5000 Mg


Entry 7:
CaTcCl2, relaxed, DFT PBE; distance to the lowest polymorph of the same formula = 193.8 meV/atom; energy relative to the elements, uncorrected = -1.41 eV/f.u.; space-group type = Pmmm (47); raw total energy = -0.3211 Ry per atom
1.0
3.3304 0.0000 0.0000
0.0000 6.0183 0.0000
0.0000 0.0000 4.2987
Tc Cl Ca
1 2 1
direct
0.5000 0.0000 0.5000 Tc
0.5000 0.5000 0.0000 Cl
0.0000 0.0000 0.0000 Cl
0.0000 0.5000 0.5000 Ca


Entry 8:
Sr2Cr2In, relaxed, DFT PBE; energy of formation = 2.41 eV/f.u.; space-group type = P4/mbm (127); raw total energy = -0.3373 Ry per atom
1.0
-7.1473 0.3900 1.3805
-1.4338 -2.1742 -6.8088
0.0331 -4.8406 1.5387
In Sr Cr
2 4 4
direct
0.0000 0.0000 0.0000 In
0.5000 0.5000 0.0000 In
0.8061 0.3061 0.5000 Sr
0.6939 0.8061 0.5000 Sr
0.3061 0.1939 0.5000 Sr
0.1939 0.6939 0.5000 Sr
0.9129 0.5871 0.0000 Cr
0.5871 0.0871 0.0000 Cr
0.4129 0.9129 0.0000 Cr
0.0871 0.4129 0.0000 Cr


Copy entry 4 word for word.
PmNdInIr, relaxed, DFT PBE; energy of formation = -1.68 eV/f.u.; space-group type = F-43m (216); raw total energy = -0.4188 Ry per atom
1.0
5.2256 0.0000 0.0000
2.6128 4.5255 0.0000
2.6128 1.5085 4.2667
In Nd Pm Ir
1 1 1 1
direct
0.5000 0.5000 0.5000 In
0.2500 0.2500 0.2500 Nd
0.7500 0.7500 0.7500 Pm
0.0000 0.0000 0.0000 Ir